The following is a PBE calculation of an optimized crystal structure of Cs2HfSn, from Alexandria.

Cell: 14.4552 14.4552 10.5949 Å, 46.99 46.99 90.00°
Closest atoms and distances in Å follow each position.
Element x y z (fractional)
Cs1 0.4577 0.1250 0.2500  2 Sn 3.87
Cs2 0.2923 0.6250 0.2500  2 Sn 3.87
Sn1 0.2500 0.7500 0.5000  2 Hf 2.79
Hf1 0.0000 0.0000 0.0000  2 Sn 2.79
Cs3 0.8750 0.7077 0.7500  2 Sn 3.87
Cs4 0.3750 0.5423 0.7500  2 Sn 3.87
Sn2 0.5000 0.5000 0.0000  2 Hf 2.79
Hf2 0.7500 0.2500 0.5000  2 Sn 2.79

Calculated values
ΔE to the lowest computed polymorph: 0 meV/atom
N(E_F): 0.157 states/eV per atom
Density: 3.21 Mg/m³